1.
CoAg2HS: relaxed, PBE.

Cell lengths 4.9994, 4.9994, 3.0323 Å; angles 90.00, 90.00, 90.00 degrees
Closest atoms and distances in Å follow each position.
Atoms (fractional coordinates):
Co1 0.0000 0.0000 0.0000  8 Ag 2.92, 2 Co 3.03
Ag1 0.0000 0.5000 0.5000  2 S 2.50
Ag2 0.5000 0.0000 0.5000  2 S 2.50
H1 0.5000 0.5000 0.0000  2 S 1.52
S1 0.5000 0.5000 0.5000  2 H 1.52

DOS at the Fermi energy = 1.003 states/eV/atom
DFT total energy = -0.254 Ry per atom
V = 15.16 Å³/atom

2.
Rb7Au3O2: relaxed, PBE.

Cell lengths 13.8971, 13.8971, 5.5067 Å; angles 90.00, 90.00, 156.44 degrees
Closest atoms and distances in Å follow each position.
Atoms (fractional coordinates):
Rb1 0.0000 0.0000 0.0000  2 O 2.82
Rb2 0.1050 0.8950 0.5000  2 O 2.75
Rb3 0.2009 0.7991 0.0000  1 O 2.65
Rb4 0.3984 0.6016 0.0000  2 O 2.84
Rb5 0.6016 0.3984 0.0000  2 O 2.84
Rb6 0.7991 0.2009 0.0000  1 O 2.65
Rb7 0.8950 0.1050 0.5000  2 O 2.75
Au1 0.2984 0.7016 0.5000  10 Rb 3.82-3.95, 2 Au 3.87
Au2 0.5000 0.5000 0.5000  12 Rb 3.90-4.03
Au3 0.7016 0.2984 0.5000  10 Rb 3.82-3.95, 2 Au 3.87
O1 0.1037 0.8963 0.0000  6 Rb 2.65-2.84
O2 0.8963 0.1037 0.0000  6 Rb 2.65-2.84

DOS at the Fermi energy = 0.206 states/eV/atom
V = 35.42 Å³/atom
energy above the lowest structure with this stoichiometry = 10.0 meV per atom

3.
PuSbRuRh: relaxed, PBE.

Cell lengths 4.7154, 4.7154, 4.7154 Å; angles 60.00, 60.00, 60.00 degrees
Closest atoms and distances in Å follow each position.
Atoms (fractional coordinates):
Pu1 0.0000 0.0000 0.0000  4 Ru 2.89, 4 Rh 2.89
Sb1 0.5000 0.5000 0.5000  4 Ru 2.89, 4 Rh 2.89
Ru1 0.7500 0.7500 0.7500  4 Sb 2.89, 4 Pu 2.89
Rh1 0.2500 0.2500 0.2500  4 Sb 2.89, 4 Pu 2.89

DOS at the Fermi energy = 2.073 states/eV/atom
DFT total energy = -0.667 Ry per atom
V = 18.53 Å³/atom

4.
Cs2CaHgGe: relaxed, PBE.

Cell lengths 7.3915, 7.3915, 5.7594 Å; angles 90.00, 90.00, 90.00 degrees
Closest atoms and distances in Å follow each position.
Atoms (fractional coordinates):
Cs1 0.0000 0.5000 0.0000  2 Ge 3.70
Cs2 0.5000 0.0000 0.0000  2 Ge 3.70
Ca1 0.0000 0.0000 0.5000  2 Ge 2.88
Hg1 0.5000 0.5000 0.5000  8 Cs 4.69, 4 Ca 5.23
Ge1 0.0000 0.0000 0.0000  2 Ca 2.88

DOS at the Fermi energy = 0.759 states/eV/atom
V = 62.93 Å³/atom
energy above the lowest structure with this stoichiometry = 0.0 meV per atom

5.
Cd2HgPt: relaxed, PBE.

Cell lengths 3.0562, 3.0562, 8.6798 Å; angles 90.00, 90.00, 90.00 degrees
Closest atoms and distances in Å follow each position.
Atoms (fractional coordinates):
Cd1 0.0000 0.0000 0.0000  4 Pt 2.85, 4 Cd 3.06
Cd2 0.5000 0.5000 0.2743  8 Cd 3.06-3.22, 4 Hg 3.24
Hg1 0.0000 0.0000 0.5526  4 Pt 2.96, 4 Hg 3.06, 4 Cd 3.24
Pt1 0.5000 0.5000 0.7853  4 Cd 2.85, 4 Hg 2.96, 4 Pt 3.06

DOS at the Fermi energy = 0.294 states/eV/atom
DFT total energy = -0.153 Ry per atom
V = 20.27 Å³/atom

6.
Sm3Ga7Co2: relaxed, PBE.

Cell lengths 12.5377, 12.5377, 12.5377 Å; angles 159.30, 159.30, 29.44 degrees
Closest atoms and distances in Å follow each position.
Atoms (fractional coordinates):
Sm1 0.0000 0.0000 0.0000  12 Ga 3.19-3.23
Sm2 0.1870 0.1870 0.0000  9 Ga 2.93-3.19
Sm3 0.8130 0.8130 0.0000  9 Ga 2.93-3.19
Ga1 0.0956 0.5956 0.5000  2 Co 2.25
Ga2 0.3076 0.3076 0.0000  1 Co 2.38
Ga3 0.4044 0.9044 0.5000  2 Co 2.25
Ga4 0.5000 0.5000 0.0000  2 Co 2.28
Ga5 0.5956 0.0956 0.5000  2 Co 2.25
Ga6 0.6924 0.6924 0.0000  1 Co 2.38
Ga7 0.9044 0.4044 0.5000  2 Co 2.25
Co1 0.4059 0.4059 0.0000  6 Ga 2.25-2.38
Co2 0.5941 0.5941 0.0000  6 Ga 2.25-2.38

DOS at the Fermi energy = 0.699 states/eV/atom
DFT total energy = -0.334 Ry per atom
V = 20.51 Å³/atom

- DOS at the Fermi energy of number 1 (CoAg2HS)?
  1.003 states/eV/atom

- Which formula does entry 2 have?
  Rb7Au3O2

What did the fourth record say?
Cs2CaHgGe: relaxed, PBE.

Cell lengths 7.3915, 7.3915, 5.7594 Å; angles 90.00, 90.00, 90.00 degrees
Closest atoms and distances in Å follow each position.
Atoms (fractional coordinates):
Cs1 0.0000 0.5000 0.0000  2 Ge 3.70
Cs2 0.5000 0.0000 0.0000  2 Ge 3.70
Ca1 0.0000 0.0000 0.5000  2 Ge 2.88
Hg1 0.5000 0.5000 0.5000  8 Cs 4.69, 4 Ca 5.23
Ge1 0.0000 0.0000 0.0000  2 Ca 2.88

DOS at the Fermi energy = 0.759 states/eV/atom
V = 62.93 Å³/atom
energy above the lowest structure with this stoichiometry = 0.0 meV per atom